1.
AsWN | PBE-GGA | optimized geometry Values from VASP.

Calculated values
* volume: 15.87 A^3/atom
* SG: Cm, No. 8
* E_form (uncorrected): 58 meV per atom
* total moment: 0.0 μB per formula unit
* total energy: -8.5842 eV/atom
* mass density: 9.5 Mg/m³

Geometry as Quantum ESPRESSO input:
```
&SYSTEM
  ibrav = 0, nat = 6, ntyp = 3
/
ATOMIC_SPECIES
W 183.84 W.upf
N 14.01 N.upf
As 74.92 As.upf
ATOMIC_POSITIONS crystal
W 0.002 0.301 0.003
W 0.500 0.795 0.001
N 0.076 0.977 0.152
As 0.819 0.911 0.637
N 0.421 0.435 0.842
As 0.675 0.497 0.350
CELL_PARAMETERS angstrom
3.084 0.000 0.000
0.000 5.311 -0.006
-1.542 -0.612 5.814
```

2.
AcTbNdEu | PBE-GGA | optimized geometry Values from VASP.

Calculated values
* volume: 38.12 A^3/atom
* SG: F-43m, No. 216
* total moment: 7.8 μB per formula unit
* total energy: -5.7941 eV/atom
* E_form: 151 meV/atom
* mass density: 7.4 Mg/m³

Geometry as Quantum ESPRESSO input:
```
&SYSTEM
  ibrav = 0, nat = 4, ntyp = 4
/
ATOMIC_SPECIES
Tb 158.93 Tb.upf
Eu 151.96 Eu.upf
Nd 144.24 Nd.upf
Ac 227.00 Ac.upf
ATOMIC_POSITIONS crystal
Tb 0.000 0.000 0.000
Eu 0.750 0.750 0.750
Nd 0.500 0.500 0.500
Ac 0.250 0.250 0.250
CELL_PARAMETERS angstrom
5.997 0.000 0.000
2.998 5.193 0.000
2.998 1.731 4.896
```

3.
CePmP | PBE-GGA | optimized geometry Values from VASP.

Calculated values
* volume: 25.62 A^3/atom
* SG: Cmcm, No. 63
* ΔE to the lowest computed polymorph: 173.2 meV/atom
* total moment: 0.6 μB per formula unit
* total energy: -6.0438 eV/atom
* E_form: -679 meV/atom
* mass density: 6.8 Mg/m³

Geometry as Quantum ESPRESSO input:
```
&SYSTEM
  ibrav = 0, nat = 6, ntyp = 3
/
ATOMIC_SPECIES
Pm 145.00 Pm.upf
P 30.97 P.upf
Ce 140.12 Ce.upf
ATOMIC_POSITIONS crystal
Pm 0.750 0.571 0.858
P 0.750 0.855 0.290
Pm 0.250 0.429 0.142
Ce 0.750 0.708 0.584
Ce 0.250 0.292 0.416
P 0.250 0.145 0.710
CELL_PARAMETERS angstrom
3.733 0.000 0.000
0.000 3.731 0.000
0.000 1.865 11.039
```

4.
Ce6GaGe2 | PBE-GGA | optimized geometry Values from VASP.

Calculated values
* volume: 25.77 A^3/atom
* SG: Amm2, No. 38
* total moment: 4.0 μB per formula unit
* total energy: -5.7974 eV/atom
* E_form: -479 meV/atom
* mass density: 7.6 Mg/m³

Geometry as Quantum ESPRESSO input:
```
&SYSTEM
  ibrav = 0, nat = 9, ntyp = 3
/
ATOMIC_SPECIES
Ce 140.12 Ce.upf
Ge 72.64 Ge.upf
Ga 69.72 Ga.upf
ATOMIC_POSITIONS crystal
Ce 0.500 0.537 0.000
Ge 0.000 0.311 0.629
Ce 0.000 0.956 0.209
Ga 0.500 0.040 0.000
Ge 0.000 0.682 0.371
Ce 0.000 0.299 0.000
Ce 0.000 0.747 0.791
Ce 0.500 0.423 0.419
Ce 0.500 0.004 0.581
CELL_PARAMETERS angstrom
4.279 0.000 0.000
0.000 8.044 0.000
0.000 -4.022 6.739
```

5.
CrMoN2Cl | PBE-GGA | optimized geometry Values from VASP.

Calculated values
* volume: 15.66 A^3/atom
* SG: P4/mmm, No. 123
* E_form (uncorrected): 530 meV per atom
* total moment: 4.6 μB per formula unit
* total energy: -7.2608 eV/atom
* mass density: 4.5 Mg/m³

Geometry as Quantum ESPRESSO input:
```
&SYSTEM
  ibrav = 0, nat = 5, ntyp = 4
/
ATOMIC_SPECIES
N 14.01 N.upf
Mo 95.94 Mo.upf
Cr 52.00 Cr.upf
Cl 35.45 Cl.upf
ATOMIC_POSITIONS crystal
N 0.500 0.000 0.000
Mo 0.000 0.000 0.000
N 0.000 0.000 0.500
Cr 0.500 0.500 0.500
Cl 0.000 0.500 0.000
CELL_PARAMETERS angstrom
-2.140 -1.050 3.102
1.913 -4.737 -0.283
2.930 1.041 2.374
```

6.
AcTl2InPb | PBE-GGA | optimized geometry Values from VASP.

Calculated values
* volume: 32.95 A^3/atom
* SG: Cmcm, No. 63
* total moment: 0.0 μB per formula unit
* total energy: -3.1716 eV/atom
* E_form: -114 meV/atom
* mass density: 9.7 Mg/m³

Geometry as Quantum ESPRESSO input:
```
&SYSTEM
  ibrav = 0, nat = 10, ntyp = 4
/
ATOMIC_SPECIES
Tl 204.38 Tl.upf
In 114.82 In.upf
Ac 227.00 Ac.upf
Pb 207.20 Pb.upf
ATOMIC_POSITIONS crystal
Tl 0.804 0.609 0.404
Tl 0.196 0.391 0.596
Tl 0.804 0.609 0.096
In 0.448 0.896 0.250
Ac 0.855 0.711 0.750
Pb 0.000 0.000 0.500
In 0.552 0.104 0.750
Ac 0.145 0.289 0.250
Pb 0.000 0.000 0.000
Tl 0.196 0.391 0.904
CELL_PARAMETERS angstrom
3.959 0.000 0.000
-1.980 7.673 0.000
0.000 0.000 10.846
```

7.
Sb2PRh | PBE-GGA | optimized geometry Values from VASP.

Calculated values
* volume: 20.48 A^3/atom
* SG: R-3m, No. 166
* E_form (uncorrected): -50 meV per atom
* total moment: 0.0 μB per formula unit
* total energy: -5.3015 eV/atom
* mass density: 7.6 Mg/m³

Geometry as Quantum ESPRESSO input:
```
&SYSTEM
  ibrav = 0, nat = 4, ntyp = 3
/
ATOMIC_SPECIES
Rh 102.91 Rh.upf
Sb 121.76 Sb.upf
P 30.97 P.upf
ATOMIC_POSITIONS crystal
Rh 0.000 0.000 0.000
Sb 0.253 0.253 0.253
P 0.500 0.500 0.500
Sb 0.747 0.747 0.747
CELL_PARAMETERS angstrom
6.855 -1.869 -0.002
6.855 1.869 -0.002
6.347 0.000 3.196
```

8.
Mn2CrHRu | PBE-GGA | optimized geometry Values from VASP.

Calculated values
* volume: 10.18 A^3/atom
* SG: P4/mmm, No. 123
* ΔE to the lowest computed polymorph: 0.0 meV/atom
* total moment: 1.9 μB per formula unit
* total energy: -8.0944 eV/atom
* mass density: 8.6 Mg/m³

Geometry as Quantum ESPRESSO input:
```
&SYSTEM
  ibrav = 0, nat = 5, ntyp = 4
/
ATOMIC_SPECIES
Ru 101.07 Ru.upf
Mn 54.94 Mn.upf
H 1.01 H.upf
Cr 52.00 Cr.upf
ATOMIC_POSITIONS crystal
Ru 0.500 0.500 0.500
Mn 0.000 0.500 0.000
Mn 0.500 0.000 0.000
H 0.000 0.000 0.000
Cr 0.000 0.000 0.500
CELL_PARAMETERS angstrom
-0.223 2.106 -3.019
-3.182 -1.631 -0.903
-1.878 2.589 1.945
```

9.
SrCd2P | PBE-GGA | optimized geometry Values from VASP.

Calculated values
* volume: 25.38 A^3/atom
* SG: F-43m, No. 216
* total moment: 0.0 μB per formula unit
* total energy: -2.4312 eV/atom
* E_form: -201 meV/atom
* mass density: 5.6 Mg/m³

Geometry as Quantum ESPRESSO input:
```
&SYSTEM
  ibrav = 0, nat = 4, ntyp = 3
/
ATOMIC_SPECIES
P 30.97 P.upf
Cd 112.41 Cd.upf
Sr 87.62 Sr.upf
ATOMIC_POSITIONS crystal
P 0.500 0.500 0.500
Cd 0.000 0.000 0.000
Cd 0.750 0.750 0.750
Sr 0.250 0.250 0.250
CELL_PARAMETERS angstrom
-3.086 3.468 2.422
-2.297 3.824 -2.742
-5.174 -0.095 -0.797
```

10.
Pm3NiBr2 | PBE-GGA | optimized geometry Values from VASP.

Calculated values
* volume: 28.16 A^3/atom
* SG: C2/m, No. 12
* E_form (uncorrected): -945 meV per atom
* total moment: 0.0 μB per formula unit
* total energy: -4.8410 eV/atom
* mass density: 6.4 Mg/m³

Geometry as Quantum ESPRESSO input:
```
&SYSTEM
  ibrav = 0, nat = 12, ntyp = 3
/
ATOMIC_SPECIES
Ni 58.69 Ni.upf
Br 79.90 Br.upf
Pm 145.00 Pm.upf
ATOMIC_POSITIONS crystal
Ni 0.667 0.000 0.665
Br 0.500 0.500 0.000
Ni 0.333 0.000 0.335
Pm 0.303 0.198 0.000
Br 0.843 0.500 0.314
Pm 0.932 0.201 0.630
Pm 0.697 0.802 0.000
Br 0.000 0.000 0.000
Pm 0.438 0.799 0.630
Pm 0.562 0.201 0.370
Pm 0.068 0.799 0.370
Br 0.157 0.500 0.686
CELL_PARAMETERS angstrom
6.464 -0.330 3.351
2.444 7.245 1.267
0.335 -0.165 7.265
```

11.
Pm7Nd2Tm | PBE-GGA | optimized geometry Values from VASP.

Calculated values
* volume: 35.87 A^3/atom
* SG: Cmmm, No. 65
* ΔE to the lowest computed polymorph: 231.6 meV/atom
* total moment: 0.0 μB per formula unit
* total energy: -4.3447 eV/atom
* E_form: 381 meV/atom
* mass density: 6.8 Mg/m³

Geometry as Quantum ESPRESSO input:
```
&SYSTEM
  ibrav = 0, nat = 10, ntyp = 3
/
ATOMIC_SPECIES
Nd 144.24 Nd.upf
Pm 145.00 Pm.upf
Tm 168.93 Tm.upf
ATOMIC_POSITIONS crystal
Nd 0.500 0.830 0.170
Pm 0.000 0.676 0.324
Tm 0.000 0.000 0.000
Nd 0.500 0.170 0.830
Pm 0.500 0.380 0.129
Pm 0.500 0.871 0.620
Pm 0.500 0.129 0.380
Pm 0.500 0.500 0.500
Pm 0.000 0.324 0.676
Pm 0.500 0.620 0.871
CELL_PARAMETERS angstrom
3.564 0.000 0.000
0.000 9.950 -2.713
0.000 -0.651 10.293
```

12.
Tb4Sm5Cd | PBE-GGA | optimized geometry Values from VASP.

Calculated values
* volume: 31.86 A^3/atom
* SG: P4/mmm, No. 123
* total moment: 0.0 μB per formula unit
* total energy: -4.3521 eV/atom
* E_form: -49 meV/atom
* mass density: 7.8 Mg/m³

Geometry as Quantum ESPRESSO input:
```
&SYSTEM
  ibrav = 0, nat = 10, ntyp = 3
/
ATOMIC_SPECIES
Sm 150.36 Sm.upf
Tb 158.93 Tb.upf
Cd 112.41 Cd.upf
ATOMIC_POSITIONS crystal
Sm 0.500 0.500 0.087
Sm 0.500 0.500 0.500
Tb 0.000 0.000 0.810
Sm 0.500 0.500 0.293
Cd 0.000 0.000 0.000
Tb 0.000 0.000 0.603
Tb 0.000 0.000 0.397
Sm 0.500 0.500 0.707
Sm 0.500 0.500 0.913
Tb 0.000 0.000 0.190
CELL_PARAMETERS angstrom
3.615 0.000 0.000
0.000 3.615 0.000
0.000 0.000 24.387
```